## KBe2Cu (GGA-PBE)

Data for an optimized crystal structure of KBe2Cu.

```
data_KBe2Cu
_space_group_name_H-M_alt 'P 1'
_space_group_IT_number 1
_cell_length_a 5.8389
_cell_length_b 5.8389
_cell_length_c 5.8389
_cell_angle_alpha 154.18
_cell_angle_beta 124.39
_cell_angle_gamma 62.29
loop_
_space_group_symop_operation_xyz
'x,y,z'
loop_
_atom_site_label
_atom_site_fract_x
_atom_site_fract_y
_atom_site_fract_z
Be1 0.9362 0.9362 0.0000
Be2 0.5638 0.5638 0.0000
K1 0.2500 0.7500 0.5000
Cu1 0.7500 0.2500 0.5000
```

## Properties
* D(E_F): 0.2717 states/eV/atom
* size of the total moment: 0.00 μB/cell
* crystal system: orthorhombic
* energy of formation from the pure elements: 0.763 eV/atom
* energy relative to the lowest polymorph listed for this composition: 539 meV/atom
* space-group type: Immm, No. 71